The following is a DFT calculation (GGA+U) of crystalline Na2PaVO8 at its relaxed geometry.

It has space group P-3m1 (No. 164), with a = 5.5576 Å, b = 5.5576 Å, c = 5.8368 Å, α = 90.00°, β = 90.00° and γ = 120.00°. The inequivalent atoms are Na at (0.3333, 0.6667, 0.4360), Pa at (0.0000, 0.0000, 0.0000), V at (0.0000, 0.0000, 0.5000), O at (0.1503, 0.3006, 0.7083) and O at (0.3333, 0.6667, 0.0282).

The value obtained for the total magnetic moment is 0.3346 μB/atom. Its final energy is -6.363 eV per atom.